Entry from Alexandria via LeMat-Bulk: a relaxed structure of Ac3Si2Hg (PBE).

Calculated values
Space group = No. 167
Formation energy without anion corrections = -2.34 eV/f.u.
Crystal system = trigonal
Calculated density = 7.5 g cm⁻³

Unit cell a=8.786 b=8.786 c=8.786 alpha=54.10 beta=54.10 gamma=54.10
Fractional positions:
1 Ac 0.052 0.750 0.448
2 Ac 0.250 0.552 0.948
3 Ac 0.448 0.052 0.750
4 Ac 0.552 0.948 0.250
5 Ac 0.750 0.448 0.052
6 Ac 0.948 0.250 0.552
7 Si 0.156 0.156 0.156
8 Si 0.344 0.344 0.344
9 Si 0.656 0.656 0.656
10 Si 0.844 0.844 0.844
11 Hg 0.000 0.000 0.000
12 Hg 0.500 0.500 0.500

Entry from Alexandria via LeMat-Bulk: a relaxed structure of Te2MoAsN (PBE).

Calculated values
Space group = No. 123
Formation energy without anion corrections = 5.84 eV/f.u.
Excess energy over the best structure of this formula in the dataset = 0.7745 eV per atom
Crystal system = tetragonal
Calculated density = 6.6 g cm⁻³

Unit cell a=5.538 b=5.538 c=3.614 alpha=90.00 beta=90.00 gamma=90.00
Fractional positions:
1 Te 0.000 0.500 0.000
2 Te 0.500 0.000 0.000
3 Mo 0.000 0.000 0.500
4 As 0.500 0.500 0.000
5 N 0.500 0.500 0.500